## BaYb2NiO5 (PBE+U)

Data for a geometry-optimized BaYb2NiO5 structure.

Output
Energy (eV/atom): -5.947
Crystal system: orthorhombic
Energy above the most stable polymorph in this dataset (meV/atom): 0

Cell and atoms, written as CIF:
```
data_BaYb2NiO5
_chemical_formula_sum 'Ba4 Yb8 Ni4 O20'
_symmetry_space_group_name_H-M 'P n m a'
_symmetry_Int_Tables_number 62
_cell_length_a 12.305
_cell_length_b 5.701
_cell_length_c 7.111
_cell_angle_alpha 90.00
_cell_angle_beta 90.00
_cell_angle_gamma 90.00
loop_
_symmetry_equiv_pos_as_xyz
'x,y,z'
'-x,-y,-z'
'-x+1/2,-y,z+1/2'
'x+1/2,y,-z+1/2'
'x+1/2,-y+1/2,-z+1/2'
'-x+1/2,y+1/2,z+1/2'
'-x,y+1/2,-z'
'x,-y+1/2,z'
loop_
_atom_site_label
_atom_site_fract_x
_atom_site_fract_y
_atom_site_fract_z
Ba1 0.099 0.250 0.074
Yb1 0.074 0.750 0.393
Yb2 0.209 0.250 0.618
Ni1 0.155 0.750 0.800
O1 0.065 0.510 0.672
O2 0.102 0.750 0.068
O3 0.228 0.005 0.356
```